{
  "formula": "Ac2Ga7Cu",
  "functional": "GGA-PBE",
  "state": "optimized geometry",
  "dft_energy_ev_per_cell": -38.4,
  "magmom_total_mub_per_fu": 0.000,
  "ef_ev_per_atom": -0.486,
  "lattice": [[4.527, 0.000, 0.000], [0.000, 4.527, 0.000], [0.000, 0.000, 10.419]],
  "species": ["Ac", "Ac", "Ga", "Ga", "Ga", "Ga", "Ga", "Ga", "Ga", "Cu"],
  "fractional_positions": [[0.000, 0.500, 0.243], [0.500, 0.000, 0.757], [0.000, 0.000, 0.000], [0.000, 0.000, 0.500], [0.000, 0.500, 0.633], [0.000, 0.500, 0.879], [0.500, 0.000, 0.121], [0.500, 0.000, 0.367], [0.500, 0.500, 0.500], [0.500, 0.500, 0.000]]
}